1.
CsSi2Pd2 | Alexandria | PBE | relaxed; space-group type = I4/mmm (139); spin magnetization = 0.00 μB/atom; formation energy from raw total energies = -226 meV per atom; relative energy among the computed polymorphs = 108 meV per atom
1.0
-2.143 2.143 7.000
2.143 -2.143 7.000
2.143 2.143 -7.000
Cs Si Pd
1 2 2
Direct
0.000 0.000 0.000
0.250 0.750 0.500
0.750 0.250 0.500
0.330 0.330 0.000
0.670 0.670 0.000

2.
LaFeCo2 | Alexandria | PBE | relaxed; formation energy from the elements = 0.426 eV per atom; space-group type = F-43m (216); spin magnetization = 1.08 μB/atom
1.0
0.000 3.155 3.155
3.155 0.000 3.155
3.155 3.155 0.000
La Fe Co
1 1 2
Direct
0.000 0.000 0.000
0.750 0.750 0.750
0.250 0.250 0.250
0.500 0.500 0.500

3.
BeNiSn2Pb | Alexandria | PBE | relaxed; formation energy from the elements = 1.348 eV per atom; space-group type = P4/mmm (123); spin magnetization = 0.00 μB/atom
1.0
5.778 0.000 0.000
0.000 5.778 0.000
0.000 0.000 4.798
Be Ni Sn Pb
1 1 2 1
Direct
0.000 0.000 0.000
0.500 0.500 0.000
0.000 0.500 0.500
0.500 0.000 0.500
0.500 0.500 0.500

4.
KZnFe2 | Alexandria | PBE | relaxed; formation energy from the elements = 1.052 eV per atom; space-group type = Cmmm (65); spin magnetization = 1.32 μB/atom
1.0
2.809 -4.810 0.000
2.809 4.810 0.000
0.000 0.000 2.615
K Zn Fe
1 1 2
Direct
0.000 0.000 0.000
0.500 0.500 0.000
0.000 0.500 0.500
0.500 0.000 0.500